Li2GaW after structural relaxation, computed with PBE.

The total moment is 0.303 μB/atom. The value obtained for the energy is -4.509 eV/atom.

It has space group F-43m (No. 216), with a = 6.134 Å, b = 6.134 Å, c = 6.134 Å, α = 90.00°, β = 90.00° and γ = 90.00°. Symmetry generates all atoms from Li at (0.000, 0.000, 0.000), Li at (0.250, 0.250, 0.250), Ga at (0.000, 0.000, 0.500) and W at (0.250, 0.250, 0.750).



TaCoReB after structural relaxation, computed with PBE.

The total moment is 0.439 μB/atom. The value obtained for the energy is -8.866 eV/atom. For the polymorph energy (0 for the lowest one), the calculation gives 0.298 eV/atom.

It has space group F-43m (No. 216), with a = 5.951 Å, b = 5.951 Å, c = 5.951 Å, α = 90.00°, β = 90.00° and γ = 90.00°. Symmetry generates all atoms from Ta at (0.000, 0.000, 0.000), Co at (0.000, 0.000, 0.500), Re at (0.250, 0.250, 0.750) and B at (0.250, 0.250, 0.250).



Zn2IN4F after structural relaxation, computed with PBE.

The value obtained for the energy is -3.824 eV/atom.

It has space group I-4 (No. 82), with a = 4.633 Å, b = 4.633 Å, c = 10.105 Å, α = 90.00°, β = 90.00° and γ = 90.00°. Symmetry generates all atoms from Zn at (0.000, 0.000, 0.000), Zn at (0.000, 0.500, 0.250), I at (0.000, 0.500, 0.750), N at (0.192, 0.792, 0.854) and F at (0.000, 0.000, 0.500).



ZnPPdO after structural relaxation, computed with PBE.

The value obtained for the energy is -4.802 eV/atom. For the polymorph energy (0 for the lowest one), the calculation gives 0.000 eV/atom.

It has space group P4/nmm (No. 129, origin choice 2), with a = 4.003 Å, b = 4.003 Å, c = 8.378 Å, α = 90.00°, β = 90.00° and γ = 90.00°. Symmetry generates all atoms from Zn at (0.250, 0.250, 0.051), P at (0.250, 0.250, 0.350), Pd at (0.250, 0.750, 0.500) and O at (0.250, 0.750, 0.000).



Li2SiSnPd2 after structural relaxation, computed with PBE.

The value obtained for the energy is -4.447 eV/atom.

It has space group P-6m2 (No. 187), with a = 4.4780 Å, b = 4.4780 Å, c = 5.4591 Å, α = 90.00°, β = 90.00° and γ = 120.00°. Symmetry generates all atoms from Li at (0.0000, 0.0000, 0.2362), Si at (0.6667, 0.3333, 0.0000), Sn at (0.3333, 0.6667, 0.5000), Pd at (0.3333, 0.6667, 0.0000) and Pd at (0.6667, 0.3333, 0.5000).



CsCuAsAu after structural relaxation, computed with PBE.

The value obtained for the energy is -2.533 eV/atom. For the polymorph energy (0 for the lowest one), the calculation gives 0.000 eV/atom.

It has space group F-43m (No. 216), with a = 7.330 Å, b = 7.330 Å, c = 7.330 Å, α = 90.00°, β = 90.00° and γ = 90.00°. Symmetry generates all atoms from Cs at (0.000, 0.000, 0.000), Cu at (0.250, 0.250, 0.250), As at (0.000, 0.000, 0.500) and Au at (0.250, 0.250, 0.750).



Mg4InGaPd2 after structural relaxation, computed with PBE.

The value obtained for the energy is -2.866 eV/atom. For the polymorph energy (0 for the lowest one), the calculation gives 0.374 eV/atom.

It has space group Amm2 (No. 38), with a = 6.749 Å, b = 3.374 Å, c = 18.158 Å, α = 90.00°, β = 90.00° and γ = 90.00°. Symmetry generates all atoms from Mg at (0.205, 0.000, 0.000), Mg at (0.206, 0.000, 0.635), In at (0.500, 0.000, 0.753), Ga at (0.500, 0.000, 0.895), Pd at (0.500, 0.000, 0.133) and Pd at (0.500, 0.000, 0.501).



LiNbSO after structural relaxation, computed with PBE.

The total moment is 0.001 μB/atom. The value obtained for the energy is -6.563 eV/atom. For the polymorph energy (0 for the lowest one), the calculation gives 0.378 eV/atom.

It has space group P4/nmm (No. 129, origin choice 2), with a = 3.482 Å, b = 3.482 Å, c = 8.233 Å, α = 90.00°, β = 90.00° and γ = 90.00°. Symmetry generates all atoms from Li at (0.250, 0.750, 0.000), Nb at (0.250, 0.250, 0.347), S at (0.250, 0.250, 0.797) and O at (0.250, 0.750, 0.500).



HfBeSi after structural relaxation, computed with PBE.

The total moment is 0.001 μB/atom. The value obtained for the energy is -6.357 eV/atom. For the polymorph energy (0 for the lowest one), the calculation gives 0.676 eV/atom.

It has space group P6_3/mmc (No. 194), with a = 4.5287 Å, b = 4.5287 Å, c = 5.2086 Å, α = 90.00°, β = 90.00° and γ = 120.00°. Symmetry generates all atoms from Hf at (0.3333, 0.6667, 0.2500), Be at (0.0000, 0.0000, 0.0000) and Si at (0.3333, 0.6667, 0.7500).



TbOs after structural relaxation, computed with PBE.

As for the formation energy: 1.620 eV per atom. The total moment is 0.500 μB/atom. The value obtained for the energy is -6.308 eV/atom.

It has space group F-43m (No. 216), with a = 6.259 Å, b = 6.259 Å, c = 6.259 Å, α = 90.00°, β = 90.00° and γ = 90.00°. Symmetry generates all atoms from Tb at (0.000, 0.000, 0.000) and Os at (0.250, 0.250, 0.250).



KHfNp after structural relaxation, computed with PBE.

The total moment is 2.263 μB/atom. The value obtained for the energy is -5.702 eV/atom.

It has space group F-43m (No. 216), with a = 7.388 Å, b = 7.388 Å, c = 7.388 Å, α = 90.00°, β = 90.00° and γ = 90.00°. Symmetry generates all atoms from K at (0.000, 0.000, 0.000), Hf at (0.250, 0.250, 0.750) and Np at (0.250, 0.250, 0.250).



GdCdPO after structural relaxation, computed with PBE.

The total moment is 0.001 μB/atom. The value obtained for the energy is -5.462 eV/atom.

It has space group Pmc2_1 (No. 26), with a = 4.354 Å, b = 6.635 Å, c = 5.872 Å, α = 90.00°, β = 90.00° and γ = 90.00°. Symmetry generates all atoms from Gd at (0.000, 0.218, 0.000), Cd at (0.500, 0.358, 0.577), P at (0.000, 0.202, 0.491) and O at (0.500, 0.309, 0.985).



ZrMoSe2 after structural relaxation, computed with PBE.

The total moment is 0.001 μB/atom. The value obtained for the energy is -6.808 eV/atom.

It has space group Cmcm (No. 63), with a = 7.427 Å, b = 6.516 Å, c = 6.232 Å, α = 90.00°, β = 90.00° and γ = 90.00°. Symmetry generates all atoms from Zr at (0.000, 0.000, 0.000), Mo at (0.000, 0.407, 0.250) and Se at (0.210, 0.286, 0.750).



PrHoTm after structural relaxation, computed with PBE.

As for the formation energy: 0.214 eV per atom. The total moment is 0.001 μB/atom. The value obtained for the energy is -4.394 eV/atom. For the polymorph energy (0 for the lowest one), the calculation gives 0.000 eV/atom.

It has space group P4/nmm (No. 129, origin choice 2), with a = 4.855 Å, b = 4.855 Å, c = 8.626 Å, α = 90.00°, β = 90.00° and γ = 90.00°. Symmetry generates all atoms from Pr at (0.250, 0.250, 0.192), Ho at (0.250, 0.750, 0.500) and Tm at (0.250, 0.250, 0.792).



FeHgGe after structural relaxation, computed with PBE.

The total moment is 0.798 μB/atom. The value obtained for the energy is -4.015 eV/atom. For the polymorph energy (0 for the lowest one), the calculation gives 0.000 eV/atom.

It has space group F-43m (No. 216), with a = 6.115 Å, b = 6.115 Å, c = 6.115 Å, α = 90.00°, β = 90.00° and γ = 90.00°. Symmetry generates all atoms from Fe at (0.000, 0.000, 0.000), Hg at (0.250, 0.250, 0.250) and Ge at (0.250, 0.250, 0.750).



PuRe2 after structural relaxation, computed with PBE.

As for the formation energy: 4.054 eV per atom. The total moment is 0.022 μB/atom. The value obtained for the energy is -8.937 eV/atom.

It has space group Fd-3m (No. 227, origin choice 2), with a = 10.719 Å, b = 10.719 Å, c = 10.719 Å, α = 90.00°, β = 90.00° and γ = 90.00°. Symmetry generates all atoms from Pu at (0.125, 0.125, 0.125) and Re at (0.000, 0.000, 0.000).



ReGeAsO after structural relaxation, computed with PBE.

The total moment is 0.002 μB/atom. The value obtained for the energy is -7.033 eV/atom. For the polymorph energy (0 for the lowest one), the calculation gives 0.000 eV/atom.

It has space group P4/nmm (No. 129, origin choice 2), with a = 3.686 Å, b = 3.686 Å, c = 9.895 Å, α = 90.00°, β = 90.00° and γ = 90.00°. Symmetry generates all atoms from Re at (0.250, 0.750, 0.000), Ge at (0.250, 0.250, 0.398), As at (0.250, 0.250, 0.817) and O at (0.250, 0.750, 0.500).



Pd7Pb after structural relaxation, computed with PBE.

The value obtained for the energy is -4.947 eV/atom.

It has space group P4/nmm (No. 129, origin choice 2), with a = 2.895 Å, b = 2.895 Å, c = 41.490 Å, α = 90.00°, β = 90.00° and γ = 90.00°. Symmetry generates all atoms from Pd at (0.250, 0.250, 0.022), Pd at (0.250, 0.250, 0.110), Pd at (0.250, 0.250, 0.199), Pd at (0.250, 0.250, 0.290), Pd at (0.250, 0.250, 0.756), Pd at (0.250, 0.250, 0.846), Pd at (0.250, 0.250, 0.934) and Pb at (0.250, 0.250, 0.659).



Pa2Ga8Fe after structural relaxation, computed with PBE.

The total moment is 0.002 μB/atom. The value obtained for the energy is -5.045 eV/atom.

It has space group P4/mmm (No. 123), with a = 4.281 Å, b = 4.281 Å, c = 11.077 Å, α = 90.00°, β = 90.00° and γ = 90.00°. Symmetry generates all atoms from Pa at (0.000, 0.000, 0.197), Ga at (0.000, 0.500, 0.000), Ga at (0.000, 0.500, 0.385), Ga at (0.500, 0.500, 0.195) and Fe at (0.000, 0.000, 0.500).



HfTlAgTeS2 after structural relaxation, computed with PBE.

The total moment is 0.000 μB/atom. The value obtained for the energy is -5.152 eV/atom.

It has space group Cmcm (No. 63), with a = 3.798 Å, b = 15.354 Å, c = 10.861 Å, α = 90.00°, β = 90.00° and γ = 90.00°. Symmetry generates all atoms from Hf at (0.000, 0.000, 0.000), Tl at (0.000, 0.231, 0.250), Ag at (0.000, 0.448, 0.750), Te at (0.000, 0.085, 0.750) and S at (0.000, 0.389, 0.538).